(1)
Below is a relaxed Ba5Ge2N6 crystal, with properties calculated at the GGA-PBEsol level.

abc: 10.637 7.027 14.209
angles: 90.00 99.75 90.00
Space group C2/c (No. 15)
Unique sites:
Ba1 0.000 0.115 0.250 x4
Ba2 0.053 0.229 0.993 x8
Ba3 0.157 0.426 0.712 x8
Ge1 0.225 0.368 0.425 x8
N1 0.062 0.455 0.376 x8
N2 0.149 0.062 0.647 x8
N3 0.211 0.089 0.442 x8

Computed properties:
The uncorrected formation energy is -639 meV per atom. The total magnetization comes out at 0.00 μB per formula unit. Its total energy is -6.161 eV per atom.

(2)
Below is a relaxed Ba7GeN6 crystal, with properties calculated at the GGA-PBEsol level.

abc: 12.354 6.906 14.380
angles: 90.00 90.00 90.00
Space group Pbcn (No. 60)
Unique sites:
Ba1 0.000 0.074 0.250 x4
Ba2 0.037 0.242 0.519 x8
Ba3 0.210 0.400 0.128 x8
Ba4 0.223 0.353 0.873 x8
Ge1 0.000 0.414 0.750 x4
N1 0.042 0.426 0.354 x8
N2 0.119 0.251 0.711 x8
N3 0.165 0.107 0.001 x8

Computed properties:
The uncorrected formation energy is -552 meV per atom. The total magnetization comes out at 0.00 μB per formula unit. Its total energy is -5.634 eV per atom.

(3)
Below is a relaxed BaGeN2 crystal, with properties calculated at the GGA-PBEsol level.

abc: 5.506 11.053 16.515
angles: 90.00 90.00 90.00
Space group Pbca (No. 61)
Unique sites:
Ba1 0.162 0.232 0.186 x8
Ba2 0.243 0.022 0.566 x8
Ge1 0.192 0.237 0.437 x8
Ge2 0.243 0.009 0.812 x8
N1 0.064 0.526 0.219 x8
N2 0.123 0.707 0.025 x8
N3 0.170 0.169 0.843 x8
N4 0.177 0.587 0.404 x8

Computed properties:
The uncorrected formation energy is -588 meV per atom. The density of states at the Fermi level comes out at 0.000 states/eV per atom. The total magnetization comes out at 0.00 μB per formula unit. Its total energy is -6.623 eV per atom.

(4)
Below is a relaxed BaGeN2 crystal, with properties calculated at the GGA-PBEsol level.

abc: 4.2498 4.2498 18.2104
angles: 90.00 90.00 120.00
Space group R-3m (No. 166, hexagonal axes)
Unique sites:
Ba1 0.0000 0.0000 0.0000 x3
Ge1 0.0000 0.0000 0.5000 x3
N1 0.0000 0.0000 0.4073 x6

Computed properties:
The uncorrected formation energy is -149 meV per atom. The total magnetization comes out at 0.00 μB per formula unit. Its total energy is -6.184 eV per atom.

(5)
Below is a relaxed BaGeTe2N crystal, with properties calculated at the GGA-PBEsol level.

abc: 5.958 5.958 3.629
angles: 90.00 90.00 90.00
Space group P4/mmm (No. 123)
Unique sites:
Ba1 0.000 0.000 0.000 x1
Ge1 0.500 0.500 0.500 x1
Te1 0.000 0.500 0.500 x2
N1 0.500 0.500 0.000 x1

Computed properties:
The uncorrected formation energy is -148 meV per atom. The density of states at the Fermi level comes out at 0.430 states/eV per atom. The total magnetization comes out at 0.00 μB per formula unit. Its total energy is -4.682 eV per atom.

(6)
Below is a relaxed BaNa2Ge2 crystal, with properties calculated at the GGA-PBEsol level.

abc: 4.713 4.713 12.727
angles: 90.00 90.00 90.00
Space group I4/mmm (No. 139)
Unique sites:
Ba1 0.000 0.000 0.000 x2
Na1 0.000 0.500 0.250 x4
Ge1 0.000 0.000 0.407 x4

Computed properties:
The density of states at the Fermi level comes out at 0.393 states/eV per atom. The total magnetization comes out at 0.00 μB per formula unit. Its total energy is -3.261 eV per atom. The energy relative to the elements comes out at -296 meV per atom.

(7)
Below is a relaxed BaNaNdGe3O9 crystal, with properties calculated at the GGA-PBEsol level.

abc: 5.868 11.674 12.882
angles: 90.00 90.00 90.00
Space group P2_12_12_1 (No. 19)
Unique sites:
Ba1 0.106 0.114 0.082 x4
Na1 0.066 0.779 0.115 x4
Nd1 0.118 0.464 0.143 x4
Ge1 0.098 0.861 0.860 x4
Ge2 0.101 0.589 0.884 x4
Ge3 0.110 0.204 0.812 x4
O1 0.002 0.992 0.528 x4
O2 0.039 0.463 0.566 x4
O3 0.114 0.732 0.939 x4
O4 0.119 0.335 0.737 x4
O5 0.124 0.099 0.711 x4
O6 0.131 0.118 0.310 x4
O7 0.139 0.437 0.325 x4
O8 0.140 0.698 0.617 x4
O9 0.143 0.811 0.383 x4

Computed properties:
The uncorrected formation energy is -2255 meV per atom. The density of states at the Fermi level comes out at 0.000 states/eV per atom. The total magnetization comes out at 0.00 μB per formula unit. Its total energy is -6.973 eV per atom.

(8)
Below is a relaxed BaNaGeSe2 crystal, with properties calculated at the GGA-PBEsol level.

abc: 5.297 5.297 4.863
angles: 90.00 90.00 90.00
Space group P4/mmm (No. 123)
Unique sites:
Ba1 0.000 0.000 0.000 x1
Na1 0.500 0.500 0.500 x1
Ge1 0.500 0.500 0.000 x1
Se1 0.000 0.500 0.500 x2

Computed properties:
The uncorrected formation energy is -353 meV per atom. The density of states at the Fermi level comes out at 0.708 states/eV per atom. The total magnetization comes out at 0.00 μB per formula unit. Its total energy is -3.590 eV per atom.

(9)
Below is a relaxed Ba2NbTcGe crystal, with properties calculated at the GGA-PBEsol level.

abc: 5.792 5.792 4.960
angles: 90.00 90.00 90.00
Space group P4/mmm (No. 123)
Unique sites:
Ba1 0.000 0.500 0.000 x2
Nb1 0.000 0.000 0.000 x1
Tc1 0.500 0.500 0.500 x1
Ge1 0.000 0.000 0.500 x1

Computed properties:
The density of states at the Fermi level comes out at 1.243 states/eV per atom. The total magnetization comes out at 4.02 μB per formula unit. Its total energy is -4.843 eV per atom. The energy relative to the elements comes out at 1422 meV per atom.

(10)
Below is a relaxed Ba2Ni5Ge4 crystal, with properties calculated at the GGA-PBEsol level.

abc: 12.299 3.969 9.536
angles: 90.00 118.69 90.00
Space group C2/m (No. 12)
Unique sites:
Ba1 0.178 0.000 0.143 x4
Ni1 0.000 0.500 0.500 x2
Ni2 0.031 0.000 0.695 x4
Ni3 0.163 0.500 0.422 x4
Ge1 0.032 0.500 0.811 x4
Ge2 0.143 0.000 0.555 x4

Computed properties:
The density of states at the Fermi level comes out at 0.654 states/eV per atom. The total magnetization comes out at 0.00 μB per formula unit. Its total energy is -5.464 eV per atom. The energy relative to the elements comes out at -479 meV per atom.

(11)
Below is a relaxed BaGe4O9 crystal, with properties calculated at the GGA-PBEsol level.

abc: 11.6197 11.6197 4.7707
angles: 90.00 90.00 120.00
Space group P321 (No. 150)
Unique sites:
Ba1 0.0000 0.3320 0.0000 x3
Ge1 0.0000 0.0000 0.0000 x1
Ge2 0.0000 0.8218 0.5000 x3
Ge3 0.1502 0.6626 0.5904 x6
Ge4 0.3333 0.6667 0.1004 x2
O1 0.0000 0.5163 0.5000 x3
O2 0.0615 0.1523 0.2362 x6
O3 0.1115 0.7873 0.6941 x6
O4 0.1810 0.5870 0.8751 x6
O5 0.2474 0.5125 0.3253 x6

Computed properties:
The uncorrected formation energy is -1952 meV per atom. The density of states at the Fermi level comes out at 0.000 states/eV per atom. The total magnetization comes out at 0.00 μB per formula unit. Its total energy is -6.891 eV per atom.

(12)
Below is a relaxed Ba10Ge7O3 crystal, with properties calculated at the GGA-PBEsol level.

abc: 11.8020 11.8020 4.9828
angles: 90.00 90.00 120.00
Space group P-6m2 (No. 187)
Unique sites:
Ba1 0.0000 0.0000 0.0000 x1
Ba2 0.0070 0.5035 0.5000 x3
Ba3 0.2093 0.4186 0.0000 x3
Ba4 0.4210 0.2105 0.0000 x3
Ge1 0.2112 0.0006 0.5000 x6
Ge2 0.3333 0.6667 0.5000 x1
O1 0.5312 0.0623 0.0000 x3

Computed properties:
The uncorrected formation energy is -1136 meV per atom. The density of states at the Fermi level comes out at 0.284 states/eV per atom. The total magnetization comes out at 0.64 μB per formula unit. Its total energy is -4.727 eV per atom.